#A
! CdCoReP, optimized geometry, DFT PBE-GGA; values from VASP
! **Space-group type**: Amm2, No. 38
&SYSTEM
  ibrav = 0, nat = 4, ntyp = 4
/
ATOMIC_SPECIES
Cd 112.41 Cd.upf
Co 58.93 Co.upf
Re 186.21 Re.upf
P 30.97 P.upf
CELL_PARAMETERS angstrom
3.227 0.000 0.000
0.000 1.493 6.128
0.000 -1.493 6.128
ATOMIC_POSITIONS angstrom
Cd 0.000 0.000 0.000
Co 1.614 0.000 4.473
Re 1.614 0.000 8.229
P 0.000 0.000 3.086

#B
! CdCoReP, optimized geometry, DFT PBE-GGA; values from VASP
! **Space-group type**: R3m, No. 160
&SYSTEM
  ibrav = 0, nat = 4, ntyp = 4
/
ATOMIC_SPECIES
Cd 112.41 Cd.upf
Co 58.93 Co.upf
Re 186.21 Re.upf
P 30.97 P.upf
CELL_PARAMETERS angstrom
1.698 0.980 6.384
-1.698 0.980 6.384
0.000 -1.960 6.384
ATOMIC_POSITIONS angstrom
Cd 0.000 0.000 0.000
Co 0.000 0.000 4.302
Re 0.000 0.000 8.599
P 0.000 0.000 16.271

#C
! CdCoReP, optimized geometry, DFT PBE-GGA; values from VASP
! **Space-group type**: R3m, No. 160
&SYSTEM
  ibrav = 0, nat = 4, ntyp = 4
/
ATOMIC_SPECIES
Cd 112.41 Cd.upf
Co 58.93 Co.upf
Re 186.21 Re.upf
P 30.97 P.upf
CELL_PARAMETERS angstrom
1.500 0.866 7.578
-1.500 0.866 7.578
0.000 -1.732 7.578
ATOMIC_POSITIONS angstrom
Cd 0.000 0.000 0.000
Co 0.000 0.000 9.774
Re 0.000 0.000 12.718
P 0.000 0.000 18.676

Result of the stability comparison: #C is the most stable of them.

#A
! CdCoReP, optimized geometry, DFT PBE-GGA; values from VASP
! **Space-group type**: Cm, No. 8
&SYSTEM
  ibrav = 0, nat = 4, ntyp = 4
/
ATOMIC_SPECIES
Cd 112.41 Cd.upf
Co 58.93 Co.upf
Re 186.21 Re.upf
P 30.97 P.upf
CELL_PARAMETERS angstrom
2.484 -1.433 0.000
2.484 1.433 0.000
-1.667 0.000 8.141
ATOMIC_POSITIONS angstrom
Cd 0.000 0.000 0.000
Co 3.311 0.000 2.273
Re 1.649 0.000 5.602
P -0.004 0.000 3.822

#B
! CdCoReP, optimized geometry, DFT PBE-GGA; values from VASP
! **Space-group type**: Amm2, No. 38
&SYSTEM
  ibrav = 0, nat = 4, ntyp = 4
/
ATOMIC_SPECIES
Cd 112.41 Cd.upf
Co 58.93 Co.upf
Re 186.21 Re.upf
P 30.97 P.upf
CELL_PARAMETERS angstrom
3.224 0.000 0.000
0.000 1.392 6.624
0.000 -1.392 6.624
ATOMIC_POSITIONS angstrom
Cd 0.000 0.000 0.000
Co 1.612 0.000 4.474
Re 1.612 0.000 8.698
P 0.000 0.000 10.378

#C
! CdCoReP, optimized geometry, DFT PBE-GGA; values from VASP
! **Space-group type**: I4mm, No. 107
&SYSTEM
  ibrav = 0, nat = 4, ntyp = 4
/
ATOMIC_SPECIES
Cd 112.41 Cd.upf
Co 58.93 Co.upf
Re 186.21 Re.upf
P 30.97 P.upf
CELL_PARAMETERS angstrom
-1.350 1.350 8.137
1.350 -1.350 8.137
1.350 1.350 -8.137
ATOMIC_POSITIONS angstrom
Cd 0.000 0.000 0.000
Co 0.000 0.000 5.965
Re 0.000 0.000 10.554
P 0.000 0.000 12.937

Result of the stability comparison: #A is the most stable of them.

#A
! CdCoReP, optimized geometry, DFT PBE-GGA; values from VASP
! **Space-group type**: Cm, No. 8
&SYSTEM
  ibrav = 0, nat = 4, ntyp = 4
/
ATOMIC_SPECIES
Cd 112.41 Cd.upf
Co 58.93 Co.upf
Re 186.21 Re.upf
P 30.97 P.upf
CELL_PARAMETERS angstrom
4.136 -1.519 0.000
4.136 1.519 0.000
-1.960 0.000 4.766
ATOMIC_POSITIONS angstrom
Cd 0.000 0.000 0.000
Co 5.993 0.000 1.218
Re 0.433 0.000 2.918
P 2.800 0.000 2.476

#B
! CdCoReP, optimized geometry, DFT PBE-GGA; values from VASP
! **Space-group type**: P4mm, No. 99
&SYSTEM
  ibrav = 0, nat = 4, ntyp = 4
/
ATOMIC_SPECIES
Cd 112.41 Cd.upf
Co 58.93 Co.upf
Re 186.21 Re.upf
P 30.97 P.upf
CELL_PARAMETERS angstrom
2.901 0.000 0.000
0.000 2.901 0.000
0.000 0.000 6.797
ATOMIC_POSITIONS angstrom
Cd 0.000 0.000 0.000
Co 1.451 1.451 4.781
Re 1.451 1.451 2.208
P 0.000 0.000 3.550

Result of the stability comparison: #B is the most stable of them.